Entry 1:
# BaInOs

A geometry-optimized BaInOs structure (PBEsol, Alexandria).

a b c (Å): 3.5515 3.5515 11.9011
angles (deg): 90.00 90.00 90.00
Last column: nearest neighbours and their distance in Å.
Space group I4mm (No. 107)
Symmetry-distinct sites (fractional):
Ba  0.0000  0.0000  0.0000 [2 per cell]  5 In 3.30-3.65, 5 Os 3.41-3.65, 4 Ba 3.55
In  0.0000  0.0000  0.2769 [2 per cell]  4 Os 2.70
Os  0.0000  0.0000  0.6933 [2 per cell]  4 In 2.70

Fermi-level density of states   3.22 states/eV/f.u.
Mass density   9787 kg/m³
Energy relative to the elements   1.47 eV/f.u.
Spin magnetization   0.000 μB per atom


Entry 2:
# CoMoCl2

A geometry-optimized CoMoCl2 structure (PBEsol, Alexandria).

a b c (Å): 3.0000 3.0000 23.0980
angles (deg): 90.00 90.00 120.00
Last column: nearest neighbours and their distance in Å.
Space group R-3m (No. 166, hexagonal axes)
Symmetry-distinct sites (fractional):
Co  0.0000  0.0000  0.0000 [3 per cell]  2 Cl 2.10
Mo  0.0000  0.0000  0.5000 [3 per cell]  6 Cl 2.46
Cl  0.0000  0.0000  0.0911 [6 per cell]  1 Co 2.10

Fermi-level density of states   2.41 states/eV/f.u.
Mass density   6247 kg/m³
Formation energy without anion corrections   0.184 eV per atom
Spin magnetization   0.256 μB per atom


Entry 3:
# LiAsPCl2

A geometry-optimized LiAsPCl2 structure (PBEsol, Alexandria).

a b c (Å): 5.1097 5.1097 4.7395
angles (deg): 90.00 90.00 90.00
Last column: nearest neighbours and their distance in Å.
Space group P4/mmm (No. 123)
Symmetry-distinct sites (fractional):
Li  0.0000  0.0000  0.0000 [1 per cell]  8 Cl 3.48, 4 P 3.61
As  0.5000  0.5000  0.5000 [1 per cell]  2 P 2.37, 4 Cl 2.55
P  0.5000  0.5000  0.0000 [1 per cell]  2 As 2.37
Cl  0.0000  0.5000  0.5000 [2 per cell]  2 As 2.55

Fermi-level density of states   3.51 states/eV/f.u.
Mass density   2466 kg/m³
Formation energy without anion corrections   -0.111 eV per atom
Spin magnetization   0.093 μB per atom


Entry 4:
# SmCo2Si2

A geometry-optimized SmCo2Si2 structure (PBEsol, Alexandria).

a b c (Å): 3.8690 3.8690 9.7784
angles (deg): 90.00 90.00 90.00
Last column: nearest neighbours and their distance in Å.
Space group I4/mmm (No. 139)
Symmetry-distinct sites (fractional):
Sm  0.0000  0.0000  0.0000 [2 per cell]  8 Si 3.02, 8 Co 3.12
Co  0.0000  0.5000  0.2500 [4 per cell]  4 Si 2.26
Si  0.0000  0.0000  0.3691 [4 per cell]  4 Co 2.26

Fermi-level density of states   2.68 states/eV/f.u.
Mass density   7360 kg/m³
Formation energy without anion corrections   -0.857 eV per atom
Spin magnetization   0.000 μB per atom